[1]
{"formula": "Pr2In5I12", "functional": "PBE", "state": "relaxed", "vol_a3_per_cell": 921, "dft_energy_ev_per_atom": -3.0159, "lattice": [[9.8569, -4.5914, 0.0000], [9.8569, 4.5914, 0.0000], [-4.2454, 0.0000, 10.1716]], "species": ["Pr", "Pr", "In", "In", "In", "In", "In", "I", "I", "I", "I", "I", "I", "I", "I", "I", "I", "I", "I"], "fractional_positions": [[0.2463, 0.7537, 0.0000], [0.7537, 0.2463, 0.0000], [0.1758, 0.1758, 0.8264], [0.2412, 0.2412, 0.3494], [0.5000, 0.5000, 0.5000], [0.7588, 0.7588, 0.6506], [0.8242, 0.8242, 0.1736], [0.0150, 0.0150, 0.2125], [0.0712, 0.5910, 0.9201], [0.1419, 0.6142, 0.4090], [0.3858, 0.8581, 0.5910], [0.4090, 0.9288, 0.0799], [0.4806, 0.4806, 0.7921], [0.5194, 0.5194, 0.2079], [0.5910, 0.0712, 0.9201], [0.6142, 0.1419, 0.4090], [0.8581, 0.3858, 0.5910], [0.9288, 0.4090, 0.0799], [0.9850, 0.9850, 0.7875]]}

[2]
{"formula": "Pr4In2I5", "functional": "PBE", "state": "relaxed", "vol_a3_per_cell": 484, "dft_energy_ev_per_atom": -3.8555, "lattice": [[12.7299, -2.0707, 0.0000], [12.7299, 2.0707, 0.0000], [-0.8050, 0.0000, 9.1730]], "species": ["Pr", "Pr", "Pr", "Pr", "In", "In", "I", "I", "I", "I", "I"], "fractional_positions": [[0.0254, 0.0254, 0.2790], [0.3310, 0.3310, 0.5650], [0.6690, 0.6690, 0.4350], [0.9746, 0.9746, 0.7210], [0.4439, 0.4439, 0.4491], [0.5561, 0.5561, 0.5509], [0.1434, 0.1434, 0.1715], [0.2130, 0.2130, 0.6849], [0.5000, 0.5000, 0.0000], [0.7870, 0.7870, 0.3151], [0.8566, 0.8566, 0.8285]]}

Size of the total moment values (in μB per formula unit) by entry order: 0.00 0.00.
Formation energy from raw total energies values (in eV per formula unit) by entry order: -15.4 -10.1.